A relaxed structure of CoPdSeO, computed with GGA+U.

## Properties
- space-group type = No. 129
- V (Å³/f.u.) = 66.8
- crystal system = tetragonal
- raw total energy (eV/atom) = -4.66
- size of the total moment (Bohr magnetons per cell) = 4.77

Geometry as POSCAR:
```
CoPdSeO
1.0
-2.1512 -1.0842 3.9172
-1.0686 -4.1252 -1.7286
5.3853 -2.3604 2.3040
Co O Pd Se
2 2 2 2
Direct
0.2500 0.2500 0.3107
0.7500 0.7500 0.6893
0.2500 0.2500 0.0456
0.7500 0.7500 0.9544
0.7500 0.7500 0.2753
0.2500 0.2500 0.7247
0.7500 0.2500 0.5000
0.2500 0.7500 0.5000
```